Below is a relaxed Y2Mg3Hg crystal, with properties calculated at the PBE level.

The structure belongs to space group Pmm2 (No. 25); the cell edges are 3.4620, 5.0619 and 8.7389 Å and the angles 90.00°, 90.00° and 90.00°. The distinct sites, in fractional coordinates, are Y at (0.0000, 0.0000, 0.0000), Y at (0.0000, 0.5000, 0.4785), Mg at (0.5000, 0.0000, 0.6548), Mg at (0.5000, 0.5000, 0.1557), Mg at (0.5000, 0.5000, 0.8200) and Hg at (0.5000, 0.0000, 0.3241).

For the energy of formation from the pure elements, the calculation gives -0.200 eV/atom.

=====

Below is a relaxed Cs12Rb5H2 crystal, with properties calculated at the PBE level.

The structure belongs to space group C2/m (No. 12); the cell edges are 24.6185, 11.0000 and 13.4189 Å and the angles 90.00°, 95.81° and 90.00°. The distinct sites, in fractional coordinates, are Cs at (0.0078, 0.0000, 0.3339), Cs at (0.0295, 0.5000, 0.1977), Cs at (0.1096, 0.2756, 0.5399), Cs at (0.1525, 0.2593, 0.9461), Rb at (0.0000, 0.0000, 0.0000), Rb at (0.2113, 0.0000, 0.2809), Rb at (0.2362, 0.5000, 0.2988) and H at (0.0000, 0.1690, 0.5000).

Its total energy is -1.143 eV/atom.

=====

Below is a relaxed KP2HS6 crystal, with properties calculated at the PBE level.

The structure belongs to space group C2/c (No. 15); the cell edges are 13.5688, 16.0549 and 5.7111 Å and the angles 90.00°, 114.44° and 90.00°. The distinct sites, in fractional coordinates, are K at (0.0000, 0.1071, 0.2500), P at (0.2111, 0.4349, 0.9330), H at (0.0000, 0.3516, 0.7500), S at (0.1280, 0.3323, 0.9458), S at (0.1307, 0.0784, 0.8808) and S at (0.1490, 0.4520, 0.5255).

Its total energy is -4.382 eV/atom.

=====

Below is a relaxed Sr2TcGeO6 crystal, with properties calculated at the PBE level.

The structure belongs to space group Fm-3m (No. 225); the cell edges are 7.8763, 7.8763 and 7.8763 Å and the angles 90.00°, 90.00° and 90.00°. The distinct sites, in fractional coordinates, are Sr at (0.2500, 0.2500, 0.2500), Tc at (0.0000, 0.0000, 0.0000), Ge at (0.0000, 0.0000, 0.5000) and O at (0.0000, 0.0000, 0.2574).

Its formation energy (no corrections) is -2090 meV/atom.

=====

Below is a relaxed SbN2ClF crystal, with properties calculated at the PBE level.

The structure belongs to space group P4/mmm (No. 123); the cell edges are 4.0408, 4.0408 and 4.0345 Å and the angles 90.00°, 90.00° and 90.00°. The distinct sites, in fractional coordinates, are Sb at (0.0000, 0.0000, 0.0000), N at (0.0000, 0.5000, 0.5000), Cl at (0.5000, 0.5000, 0.5000) and F at (0.5000, 0.5000, 0.0000).

The excess energy over the best structure of this formula in the dataset comes out at 691 meV/atom. Its formation energy (no corrections) is 1451 meV/atom.

=====

Below is a relaxed KNp3Tl4O12 crystal, with properties calculated at the PBE level.

The structure belongs to space group Im-3m (No. 229); the cell edges are 8.8446, 8.8446 and 8.8446 Å and the angles 90.00°, 90.00° and 90.00°. The distinct sites, in fractional coordinates, are K at (0.0000, 0.0000, 0.0000), Np at (0.0000, 0.0000, 0.5000), Tl at (0.2500, 0.2500, 0.2500), O at (0.0000, 0.0000, 0.2889) and O at (0.0000, 0.2500, 0.5000).

Its formation energy (no corrections) is -2100 meV/atom.

=====

Number 1: D(E_F) 6.07 states/eV/cell. Number 2: D(E_F) 34.06 states/eV/cell. Number 3: D(E_F) 0.00 states/eV/cell. Number 4: D(E_F) 4.30 states/eV/cell. Number 5: D(E_F) 1.47 states/eV/cell. Number 6: D(E_F) 23.08 states/eV/cell.